Entry 1:
# YTcSe2

A relaxed YTcSe2 crystal (PBE-GGA, the Alexandria database).

Computed properties:
The energy relative to the lowest polymorph listed for this composition is 0.404 eV/atom. Its space-group type is Cmmm, No. 65. The formation energy (no corrections) comes out at -0.406 eV/atom. Its crystal system is orthorhombic.

a = 3.4014 Å, b = 3.4014 Å, c = 6.8327 Å
α = 90.00°, β = 90.00°, γ = 102.90°
Fractional coordinates of all 4 atoms:
Y: 0.0000 0.0000 0.0000
Tc: 0.0000 0.0000 0.5000
Se: 0.5000 0.5000 0.2748
Se: 0.5000 0.5000 0.7252

---

Entry 2:
# K2IrRhO

A relaxed K2IrRhO crystal (PBE-GGA, the Alexandria database).

Computed properties:
Its space-group type is P4/mmm, No. 123. The formation energy (no corrections) comes out at 0.236 eV/atom. Its crystal system is tetragonal.

a = 5.6946 Å, b = 5.6946 Å, c = 3.7205 Å
α = 90.00°, β = 90.00°, γ = 90.00°
Fractional coordinates of all 5 atoms:
K: 0.0000 0.5000 0.0000
K: 0.5000 0.0000 0.0000
Ir: 0.0000 0.0000 0.5000
Rh: 0.5000 0.5000 0.5000
O: 0.0000 0.0000 0.0000

---

Entry 3:
# SrLaMg2

A relaxed SrLaMg2 crystal (PBE-GGA, the Alexandria database).

Computed properties:
Its space-group type is Immm, No. 71. Its crystal system is orthorhombic. As for the formation energy: 0.499 eV/atom.

a = 7.6940 Å, b = 7.6940 Å, c = 7.6940 Å
α = 154.63°, β = 132.44°, γ = 54.67°
Fractional coordinates of all 4 atoms:
Sr: 0.0000 0.0000 0.0000
La: 0.5000 0.5000 0.0000
Mg: 0.2547 0.2547 0.0000
Mg: 0.7453 0.7453 0.0000

---

Entry 4:
# BaRuCl6

A relaxed BaRuCl6 crystal (PBE-GGA, the Alexandria database).

Computed properties:
The energy relative to the lowest polymorph listed for this composition is 0.000 eV/atom. Its space-group type is C2/c, No. 15. The formation energy (no corrections) comes out at -1.263 eV/atom. Its crystal system is monoclinic.

a = 6.5680 Å, b = 6.5680 Å, c = 10.7904 Å
α = 92.30°, β = 92.30°, γ = 84.20°
Fractional coordinates of all 16 atoms:
Ba: 0.0262 0.9738 0.7500
Ba: 0.9738 0.0262 0.2500
Ru: 0.0000 0.5000 0.5000
Ru: 0.5000 0.0000 0.0000
Cl: 0.0821 0.5267 0.2898
Cl: 0.1777 0.1979 0.0043
Cl: 0.1979 0.1777 0.5043
Cl: 0.2867 0.6595 0.5657
Cl: 0.3405 0.7133 0.9343
Cl: 0.4733 0.9179 0.2102
Cl: 0.5267 0.0821 0.7898
Cl: 0.6595 0.2867 0.0657
Cl: 0.7133 0.3405 0.4343
Cl: 0.8021 0.8223 0.4957
Cl: 0.8223 0.8021 0.9957
Cl: 0.9179 0.4733 0.7102

---

Entry 5:
# CsMnTl2Br8

A relaxed CsMnTl2Br8 crystal (PBE-GGA, the Alexandria database).

Computed properties:
Its space-group type is P-1, No. 2. The formation energy (no corrections) comes out at -0.808 eV/atom. Its crystal system is triclinic.

a = 6.0893 Å, b = 7.2634 Å, c = 9.7183 Å
α = 89.99°, β = 75.20°, γ = 89.85°
Fractional coordinates of all 12 atoms:
Cs: 0.0000 0.0000 0.0000
Mn: 0.0000 0.0000 0.5000
Tl: 0.3171 0.4983 0.3213
Tl: 0.6829 0.5017 0.6787
Br: 0.1642 0.2420 0.6229
Br: 0.1657 0.7578 0.6227
Br: 0.2485 0.4998 0.9956
Br: 0.3332 0.0001 0.2955
Br: 0.6668 0.9999 0.7045
Br: 0.7515 0.5002 0.0044
Br: 0.8343 0.2422 0.3773
Br: 0.8358 0.7580 0.3771

---

Entry 6:
# Cs2Na3H5

A relaxed Cs2Na3H5 crystal (PBE-GGA, the Alexandria database).

Computed properties:
Its space-group type is C2/m, No. 12. Its crystal system is monoclinic.

a = 7.0501 Å, b = 7.0501 Å, c = 9.0738 Å
α = 116.88°, β = 116.88°, γ = 32.56°
Fractional coordinates of all 10 atoms:
Cs: 0.1857 0.1857 0.2462
Cs: 0.8143 0.8143 0.7538
Na: 0.0000 0.0000 0.5000
Na: 0.4306 0.4306 0.1780
Na: 0.5694 0.5694 0.8220
H: 0.1407 0.1407 0.7991
H: 0.4101 0.4101 0.5730
H: 0.5000 0.5000 0.0000
H: 0.5899 0.5899 0.4270
H: 0.8593 0.8593 0.2009

---

Entry 7:
# LiGe2Pt

A relaxed LiGe2Pt crystal (PBE-GGA, the Alexandria database).

Computed properties:
The energy relative to the lowest polymorph listed for this composition is 0.222 eV/atom. Its space-group type is I-42d, No. 122. Its crystal system is tetragonal. As for the formation energy: -0.256 eV/atom.

a = 6.0717 Å, b = 6.0717 Å, c = 6.0717 Å
α = 99.95°, β = 99.95°, γ = 130.88°
Fractional coordinates of all 8 atoms:
Li: 0.0000 0.0000 0.0000
Li: 0.7500 0.2500 0.5000
Ge: 0.1931 0.1250 0.5681
Ge: 0.3750 0.8069 0.9319
Ge: 0.5569 0.6250 0.4319
Ge: 0.8750 0.4431 0.0681
Pt: 0.2500 0.7500 0.5000
Pt: 0.5000 0.5000 0.0000

---

Entry 8:
# PmTlTe2

A relaxed PmTlTe2 crystal (PBE-GGA, the Alexandria database).

Computed properties:
The energy relative to the lowest polymorph listed for this composition is 0.161 eV/atom. Its space-group type is P4/mmm, No. 123. The formation energy (no corrections) comes out at -0.914 eV/atom. Its crystal system is tetragonal.

a = 3.9482 Å, b = 3.9482 Å, c = 8.2958 Å
α = 90.00°, β = 90.00°, γ = 90.00°
Fractional coordinates of all 4 atoms:
Pm: 0.0000 0.0000 0.0000
Tl: 0.0000 0.0000 0.5000
Te: 0.5000 0.5000 0.2175
Te: 0.5000 0.5000 0.7825

---

Number 1: total moment 0.5 μB/f.u., electronic total energy -25.42 eV/f.u.. Number 2: total moment 1.3 μB/f.u., electronic total energy -22.19 eV/f.u.. Number 3: total moment 0.0 μB/f.u., electronic total energy -7.80 eV/f.u.. Number 4: total moment 2.0 μB/f.u., electronic total energy -32.38 eV/f.u.. Number 5: total moment 2.9 μB/f.u., electronic total energy -37.83 eV/f.u.. Number 6: total moment 0.0 μB/f.u., electronic total energy -24.05 eV/f.u.. Number 7: total moment 0.0 μB/f.u., electronic total energy -18.21 eV/f.u.. Number 8: total moment 0.0 μB/f.u., electronic total energy -17.06 eV/f.u..